(1)
# KSrAu2 (SCAN, single point on PBEsol structure)
# total magnetic moment	0.0	μB per formula unit
# ρ	7.995	g/cm3
# crystal system	tetragonal
# final energy	-42.845	eV per atom
data_KSrAu2
_chemical_formula_sum 'K1 Sr1 Au2'
_cell_length_a 5.313
_cell_length_b 5.313
_cell_length_c 3.831
_cell_angle_alpha 90.00
_cell_angle_beta 90.00
_cell_angle_gamma 90.00
_symmetry_space_group_name_H-M 'P 4/m m m'
_symmetry_Int_Tables_number 123
_symmetry_space_group_name_Hall '-P 4 2'
loop_
_atom_site_label
_atom_site_fract_x
_atom_site_fract_y
_atom_site_fract_z
K1 0.000 0.000 0.000
Sr1 0.500 0.500 0.000
Au1 0.000 0.500 0.500

(2)
# KSrAu2 (SCAN, single point on PBEsol structure)
# total magnetic moment	0.0	μB per formula unit
# ρ	7.425	g/cm3
# crystal system	orthorhombic
# final energy	-42.895	eV per atom
data_KSrAu2
_chemical_formula_sum 'K2 Sr2 Au4'
_cell_length_a 4.667
_cell_length_b 4.323
_cell_length_c 11.541
_cell_angle_alpha 90.00
_cell_angle_beta 90.00
_cell_angle_gamma 90.00
_symmetry_space_group_name_H-M 'A m m 2'
_symmetry_Int_Tables_number 38
loop_
_symmetry_equiv_pos_as_xyz
'x,y,z'
'-x,-y,z'
'-x,y,z'
'x,-y,z'
'x,y+1/2,z+1/2'
'-x,-y+1/2,z+1/2'
'-x,y+1/2,z+1/2'
'x,-y+1/2,z+1/2'
loop_
_atom_site_label
_atom_site_fract_x
_atom_site_fract_y
_atom_site_fract_z
K1 0.000 0.000 0.000
Sr1 0.500 0.000 0.283
Au1 0.000 0.000 0.717
Au2 0.500 0.000 0.578

(3)
# KTa2Au (SCAN, single point on PBEsol structure)
# total magnetic moment	0.0	μB per formula unit
# ρ	10.554	g/cm3
# crystal system	tetragonal
# energy above the lowest structure with this stoichiometry	0.00	eV per formula unit
# final energy	-52.249	eV per atom
data_KTa2Au
_chemical_formula_sum 'K1 Ta2 Au1'
_cell_length_a 3.268
_cell_length_b 3.268
_cell_length_c 8.808
_cell_angle_alpha 90.00
_cell_angle_beta 90.00
_cell_angle_gamma 90.00
_symmetry_space_group_name_H-M 'P 4 m m'
_symmetry_Int_Tables_number 99
loop_
_symmetry_equiv_pos_as_xyz
'x,y,z'
'-y,x,z'
'-x,-y,z'
'y,-x,z'
'-x,y,z'
'y,x,z'
'x,-y,z'
'-y,-x,z'
loop_
_atom_site_label
_atom_site_fract_x
_atom_site_fract_y
_atom_site_fract_z
K1 0.000 0.000 0.000
Ta1 0.000 0.000 0.530
Ta2 0.500 0.500 0.365
Au1 0.500 0.500 0.716

(4)
# KTaAu2 (SCAN, single point on PBEsol structure)
# total magnetic moment	0.0	μB per formula unit
# ρ	12.522	g/cm3
# crystal system	orthorhombic
# energy above the lowest structure with this stoichiometry	2.66	eV per formula unit
# final energy	-52.704	eV per atom
data_KTaAu2
_chemical_formula_sum 'K2 Ta2 Au4'
_cell_length_a 4.661
_cell_length_b 5.078
_cell_length_c 6.880
_cell_angle_alpha 90.00
_cell_angle_beta 90.00
_cell_angle_gamma 90.00
_symmetry_space_group_name_H-M 'I m m m'
_symmetry_Int_Tables_number 71
_symmetry_space_group_name_Hall '-I 2 2'
loop_
_atom_site_label
_atom_site_fract_x
_atom_site_fract_y
_atom_site_fract_z
K1 0.000 0.000 0.000
Ta1 0.000 0.000 0.500
Au1 0.000 0.500 0.227

(5)
# K2TaAu (SCAN, single point on PBEsol structure)
# total magnetic moment	0.0	μB per formula unit
# ρ	8.092	g/cm3
# crystal system	tetragonal
# energy above the lowest structure with this stoichiometry	0.06	eV per formula unit
# final energy	-37.243	eV per atom
data_K2TaAu
_chemical_formula_sum 'K4 Ta2 Au2'
_cell_length_a 3.991
_cell_length_b 3.991
_cell_length_c 11.751
_cell_angle_alpha 90.00
_cell_angle_beta 90.00
_cell_angle_gamma 90.00
_symmetry_space_group_name_H-M 'I 4/m m m'
_symmetry_Int_Tables_number 139
_symmetry_space_group_name_Hall '-I 4 2'
loop_
_atom_site_label
_atom_site_fract_x
_atom_site_fract_y
_atom_site_fract_z
K1 0.000 0.500 0.250
Ta1 0.000 0.000 0.000
Au1 0.000 0.000 0.500

(6)
# KTaAu2 (SCAN, single point on PBEsol structure)
# total magnetic moment	0.0	μB per formula unit
# ρ	11.727	g/cm3
# crystal system	orthorhombic
# energy above the lowest structure with this stoichiometry	0.00	eV per formula unit
# final energy	-53.370	eV per atom
data_KTaAu2
_chemical_formula_sum 'K1 Ta1 Au2'
_cell_length_a 2.869
_cell_length_b 3.795
_cell_length_c 7.987
_cell_angle_alpha 90.00
_cell_angle_beta 90.00
_cell_angle_gamma 90.00
_symmetry_space_group_name_H-M 'P m m m'
_symmetry_Int_Tables_number 47
loop_
_symmetry_equiv_pos_as_xyz
'x,y,z'
'-x,-y,-z'
'-x,-y,z'
'x,y,-z'
'x,-y,-z'
'-x,y,z'
'-x,y,-z'
'x,-y,z'
loop_
_atom_site_label
_atom_site_fract_x
_atom_site_fract_y
_atom_site_fract_z
K1 0.000 0.000 0.000
Ta1 0.000 0.000 0.500
Au1 0.500 0.500 0.315

(7)
# KTa3Au (SCAN, single point on PBEsol structure)
# total magnetic moment	0.0	μB per formula unit
# ρ	14.068	g/cm3
# crystal system	cubic
# final energy	-52.443	eV per atom
data_KTa3Au
_chemical_formula_sum 'K1 Ta3 Au1'
_cell_length_a 4.513
_cell_length_b 4.513
_cell_length_c 4.513
_cell_angle_alpha 90.00
_cell_angle_beta 90.00
_cell_angle_gamma 90.00
_symmetry_space_group_name_H-M 'P m -3 m'
_symmetry_Int_Tables_number 221
_symmetry_space_group_name_Hall '-P 4 2 3'
loop_
_atom_site_label
_atom_site_fract_x
_atom_site_fract_y
_atom_site_fract_z
K1 0.000 0.000 0.000
Ta1 0.000 0.000 0.500
Au1 0.500 0.500 0.500

(8)
# K2TaAu (SCAN, single point on PBEsol structure)
# total magnetic moment	0.0	μB per formula unit
# ρ	8.317	g/cm3
# crystal system	monoclinic
# energy above the lowest structure with this stoichiometry	0.00	eV per formula unit
# final energy	-37.259	eV per atom
data_K2TaAu
_chemical_formula_sum 'K4 Ta2 Au2'
_cell_length_a 5.970
_cell_length_b 12.021
_cell_length_c 2.819
_cell_angle_alpha 90.00
_cell_angle_beta 115.80
_cell_angle_gamma 90.00
_symmetry_space_group_name_H-M 'C 1 2/m 1'
_symmetry_Int_Tables_number 12
loop_
_symmetry_equiv_pos_as_xyz
'x,y,z'
'-x,-y,-z'
'-x,y,-z'
'x,-y,z'
'x+1/2,y+1/2,z'
'-x+1/2,-y+1/2,-z'
'-x+1/2,y+1/2,-z'
'x+1/2,-y+1/2,z'
loop_
_atom_site_label
_atom_site_fract_x
_atom_site_fract_y
_atom_site_fract_z
K1 0.250 0.250 0.000
Ta1 0.000 0.000 0.500
Au1 0.000 0.500 0.500

(9)
# KTa2Au (SCAN, single point on PBEsol structure)
# total magnetic moment	0.0	μB per formula unit
# ρ	10.031	g/cm3
# crystal system	monoclinic
# energy above the lowest structure with this stoichiometry	0.84	eV per formula unit
# final energy	-52.039	eV per atom
data_KTa2Au
_chemical_formula_sum 'K2 Ta4 Au2'
_cell_length_a 10.014
_cell_length_b 2.797
_cell_length_c 7.158
_cell_angle_alpha 90.00
_cell_angle_beta 99.13
_cell_angle_gamma 90.00
_symmetry_space_group_name_H-M 'C 1 m 1'
_symmetry_Int_Tables_number 8
loop_
_symmetry_equiv_pos_as_xyz
'x,y,z'
'x,-y,z'
'x+1/2,y+1/2,z'
'x+1/2,-y+1/2,z'
loop_
_atom_site_label
_atom_site_fract_x
_atom_site_fract_y
_atom_site_fract_z
K1 0.000 0.000 0.000
Ta1 0.198 0.000 0.577
Ta2 0.465 0.000 0.520
Au1 0.269 0.500 0.269

(10)
# K2TaAu (SCAN, single point on PBEsol structure)
# total magnetic moment	0.0	μB per formula unit
# ρ	8.290	g/cm3
# crystal system	monoclinic
# energy above the lowest structure with this stoichiometry	0.00	eV per formula unit
# final energy	-37.258	eV per atom
data_K2TaAu
_chemical_formula_sum 'K2 Ta1 Au1'
_cell_length_a 2.816
_cell_length_b 6.032
_cell_length_c 5.383
_cell_angle_alpha 90.00
_cell_angle_beta 92.45
_cell_angle_gamma 90.00
_symmetry_space_group_name_H-M 'P 1 2/m 1'
_symmetry_Int_Tables_number 10
loop_
_symmetry_equiv_pos_as_xyz
'x,y,z'
'-x,-y,-z'
'-x,y,-z'
'x,-y,z'
loop_
_atom_site_label
_atom_site_fract_x
_atom_site_fract_y
_atom_site_fract_z
K1 0.244 0.000 0.260
Ta1 0.500 0.500 0.000
Au1 0.000 0.500 0.500

(11)
# KTa2Au (SCAN, single point on PBEsol structure)
# total magnetic moment	0.7	μB per formula unit
# ρ	11.383	g/cm3
# crystal system	orthorhombic
# energy above the lowest structure with this stoichiometry	1.88	eV per formula unit
# final energy	-51.780	eV per atom
data_KTa2Au
_chemical_formula_sum 'K2 Ta4 Au2'
_cell_length_a 2.826
_cell_length_b 5.718
_cell_length_c 10.795
_cell_angle_alpha 90.00
_cell_angle_beta 90.00
_cell_angle_gamma 90.00
_symmetry_space_group_name_H-M 'I m m 2'
_symmetry_Int_Tables_number 44
loop_
_symmetry_equiv_pos_as_xyz
'x,y,z'
'-x,-y,z'
'-x,y,z'
'x,-y,z'
'x+1/2,y+1/2,z+1/2'
'-x+1/2,-y+1/2,z+1/2'
'-x+1/2,y+1/2,z+1/2'
'x+1/2,-y+1/2,z+1/2'
loop_
_atom_site_label
_atom_site_fract_x
_atom_site_fract_y
_atom_site_fract_z
K1 0.000 0.000 0.000
Ta1 0.000 0.000 0.505
Ta2 0.000 0.500 0.800
Au1 0.000 0.500 0.228

(12)
# KTcAu4 (SCAN, single point on PBEsol structure)
# total magnetic moment	4.1	μB per formula unit
# ρ	13.064	g/cm3
# crystal system	cubic
# final energy	-53.041	eV per atom
data_KTcAu4
_chemical_formula_sum 'K4 Tc4 Au16'
_cell_length_a 7.777
_cell_length_b 7.777
_cell_length_c 7.777
_cell_angle_alpha 90.00
_cell_angle_beta 90.00
_cell_angle_gamma 90.00
_symmetry_space_group_name_H-M 'F -4 3 m'
_symmetry_Int_Tables_number 216
_symmetry_space_group_name_Hall 'F -4 2 3'
loop_
_atom_site_label
_atom_site_fract_x
_atom_site_fract_y
_atom_site_fract_z
K1 0.000 0.000 0.000
Tc1 0.250 0.250 0.250
Au1 0.125 0.125 0.625